Record 1
BaCaIn | PBE | relaxed

Results
Its crystal system is tetragonal. The value obtained for the formation energy from the elements is -323 meV/atom. The space-group type is P4/nmm, No. 129. As for the density of states at the Fermi level: 10.93 states/eV/cell. The total magnetization comes out at 0.01 Bohr magnetons per cell.

POSCAR file:
```
BaCaIn
1.0
5.2403 0.0000 0.0000
0.0000 5.2403 0.0000
0.0000 0.0000 8.9643
Ba Ca In
2 2 2
direct
0.0000 0.5000 0.8581
0.5000 0.0000 0.1419
0.5000 0.5000 0.5000
0.0000 0.0000 0.5000
0.0000 0.5000 0.2676
0.5000 0.0000 0.7324
```



Record 2
Sc2TeP | PBE | relaxed

Results
Its crystal system is trigonal. The energy above the most stable polymorph in this dataset comes out at 487 meV/atom. The space-group type is R-3m, No. 166. The value obtained for the uncorrected formation energy is -0.905 eV per atom. As for the density of states at the Fermi level: 4.24 states/eV/cell. The total magnetization comes out at 0.00 Bohr magnetons per cell.

POSCAR file:
```
Sc2TeP
1.0
-8.0866 0.7965 1.8298
-7.7634 -2.9490 0.6396
-6.8288 -1.9694 4.3432
Sc P Te
2 1 1
direct
0.8861 0.8861 0.8861
0.1139 0.1139 0.1139
0.5000 0.5000 0.5000
0.0000 0.0000 0.0000
```



Record 3
La2NdSc | PBE | relaxed

Results
Its crystal system is orthorhombic. The value obtained for the formation energy from the elements is 39 meV/atom. The energy above the most stable polymorph in this dataset comes out at 1 meV/atom. The space-group type is Imma, No. 74. As for the density of states at the Fermi level: 12.10 states/eV/cell. The total magnetization comes out at 0.00 Bohr magnetons per cell.

POSCAR file:
```
La2NdSc
1.0
6.2369 0.0000 3.5792
2.0737 5.8770 3.6101
0.0123 0.0155 7.2022
La Nd Sc
4 2 2
direct
0.0000 0.5000 0.5000
0.5000 0.0000 0.0000
0.0000 0.0000 0.5000
0.5000 0.0000 0.5000
0.0000 0.5000 0.0000
0.5000 0.5000 0.0000
0.0000 0.0000 0.0000
0.5000 0.5000 0.5000
```



Record 4
Nd3Th2N4 | PBE | relaxed

Results
Its crystal system is monoclinic. The space-group type is C2/m, No. 12. The value obtained for the uncorrected formation energy is -1.242 eV per atom. As for the density of states at the Fermi level: 5.34 states/eV/cell. The total magnetization comes out at 0.00 Bohr magnetons per cell.

POSCAR file:
```
Nd3Th2N4
1.0
-1.2203 -1.5135 -3.1354
3.8761 -4.8654 -1.3305
-4.0701 -6.5837 2.5917
Nd Th N
3 2 4
direct
0.0000 0.0000 0.0000
0.2068 0.3980 0.1883
0.7932 0.6020 0.8117
0.6016 0.1828 0.6140
0.3984 0.8172 0.3860
0.8033 0.0799 0.3135
0.1967 0.9201 0.6865
0.4018 0.3037 0.8928
0.5982 0.6963 0.1072
```